1.
! K2SrIr meta-GGA SCAN PBEsol geometry; values from VASP
&SYSTEM
  ibrav = 0, nat = 4, ntyp = 3
/
ATOMIC_SPECIES
Ir 192.22 Ir.upf
K 39.10 K.upf
Sr 87.62 Sr.upf
CELL_PARAMETERS angstrom
3.720 0.000 0.000
0.000 3.720 0.000
0.000 0.000 11.241
ATOMIC_POSITIONS crystal
Ir 0.500 0.500 0.725
K 0.000 0.000 0.906
K 0.500 0.500 0.269
Sr 0.000 0.000 0.600
! - Space-group type: No. 99
! - Energy above the lowest structure with this stoichiometry: 0.0000 eV per atom
! - DFT formation energy: 1.34 eV/f.u.
! - Density of states at the Fermi level: 0.5277 states/eV per atom

2.
! K2TaIr meta-GGA SCAN PBEsol geometry; values from VASP
&SYSTEM
  ibrav = 0, nat = 4, ntyp = 3
/
ATOMIC_SPECIES
Ir 192.22 Ir.upf
K 39.10 K.upf
Ta 180.95 Ta.upf
CELL_PARAMETERS angstrom
-2.148 0.667 -1.709
0.659 -2.732 0.285
-7.598 -0.872 9.210
ATOMIC_POSITIONS crystal
Ir 0.500 0.500 0.000
K 0.000 0.000 0.222
K 0.000 0.000 0.778
Ta 0.500 0.500 0.500
! - Space-group type: No. 65
! - Energy above the lowest structure with this stoichiometry: 0.2566 eV per atom
! - DFT formation energy: 4.20 eV/f.u.
! - Density of states at the Fermi level: 0.8626 states/eV per atom

3.
! K2TaIr meta-GGA SCAN PBEsol geometry; values from VASP
&SYSTEM
  ibrav = 0, nat = 4, ntyp = 3
/
ATOMIC_SPECIES
Ir 192.22 Ir.upf
K 39.10 K.upf
Ta 180.95 Ta.upf
CELL_PARAMETERS angstrom
3.694 0.000 0.000
0.000 3.891 0.000
0.000 0.000 5.923
ATOMIC_POSITIONS crystal
Ir 0.000 0.500 0.500
K 0.000 0.000 0.000
K 0.500 0.500 0.000
Ta 0.500 0.000 0.500
! - Space-group type: No. 47
! - Energy above the lowest structure with this stoichiometry: 0.0000 eV per atom
! - DFT formation energy: 3.17 eV/f.u.
! - Density of states at the Fermi level: 0.8313 states/eV per atom

4.
! KTaIr3 meta-GGA SCAN PBEsol geometry; values from VASP
&SYSTEM
  ibrav = 0, nat = 5, ntyp = 3
/
ATOMIC_SPECIES
K 39.10 K.upf
Ir 192.22 Ir.upf
Ta 180.95 Ta.upf
CELL_PARAMETERS angstrom
-1.241 3.850 -2.620
-3.826 -2.389 -1.698
-2.655 1.643 3.672
ATOMIC_POSITIONS crystal
K 0.500 0.500 0.500
Ir 0.000 0.500 0.000
Ir 0.000 0.000 0.500
Ir 0.500 0.000 0.000
Ta 0.000 0.000 0.000
! - Space-group type: No. 221
! - DFT formation energy: 5.92 eV/f.u.
! - Density of states at the Fermi level: 0.7830 states/eV per atom

5.
! KTc2IrW meta-GGA SCAN PBEsol geometry; values from VASP
&SYSTEM
  ibrav = 0, nat = 5, ntyp = 4
/
ATOMIC_SPECIES
K 39.10 K.upf
Ir 192.22 Ir.upf
Tc 98.00 Tc.upf
W 183.84 W.upf
CELL_PARAMETERS angstrom
-2.540 3.479 -2.160
-3.405 -3.169 -1.100
-2.215 0.946 4.129
ATOMIC_POSITIONS crystal
K 0.500 0.500 0.500
Ir 0.000 0.000 0.000
Tc 0.000 0.000 0.500
Tc 0.000 0.500 0.000
W 0.500 0.000 0.000
! - Space-group type: No. 123
! - DFT formation energy: 8.84 eV/f.u.
! - Density of states at the Fermi level: 0.9333 states/eV per atom

6.
! KTe2Ir meta-GGA SCAN PBEsol geometry; values from VASP
&SYSTEM
  ibrav = 0, nat = 4, ntyp = 3
/
ATOMIC_SPECIES
K 39.10 K.upf
Ir 192.22 Ir.upf
Te 127.60 Te.upf
CELL_PARAMETERS angstrom
-1.983 -3.237 -1.546
0.189 -3.623 1.908
-6.717 -0.472 4.170
ATOMIC_POSITIONS crystal
K 0.500 0.500 0.500
Ir 0.000 0.000 0.000
Te 0.278 0.278 0.166
Te 0.722 0.722 0.834
! - Space-group type: No. 166
! - Formation energy from raw total energies: -0.650 eV/atom

7.
! K2TeIr meta-GGA SCAN PBEsol geometry; values from VASP
&SYSTEM
  ibrav = 0, nat = 4, ntyp = 3
/
ATOMIC_SPECIES
Ir 192.22 Ir.upf
K 39.10 K.upf
Te 127.60 Te.upf
CELL_PARAMETERS angstrom
-0.266 -3.615 -2.083
2.976 1.298 -2.634
2.319 -0.915 5.487
ATOMIC_POSITIONS crystal
Ir 0.000 0.000 0.000
K 0.750 0.250 0.500
K 0.250 0.750 0.500
Te 0.500 0.500 0.000
! - Space-group type: No. 139
! - Formation energy from raw total energies: 0.140 eV/atom
! - Density of states at the Fermi level: 0.3141 states/eV per atom

8.
! K2TeIr meta-GGA SCAN PBEsol geometry; values from VASP
&SYSTEM
  ibrav = 0, nat = 4, ntyp = 3
/
ATOMIC_SPECIES
Ir 192.22 Ir.upf
K 39.10 K.upf
Te 127.60 Te.upf
CELL_PARAMETERS angstrom
3.272 0.000 0.000
0.000 5.184 0.000
0.000 0.000 5.625
ATOMIC_POSITIONS crystal
Ir 0.500 0.500 0.500
K 0.000 0.000 0.743
K 0.000 0.000 0.257
Te 0.500 0.500 0.000
! - Space-group type: No. 47
! - Formation energy from raw total energies: 0.210 eV/atom
! - Density of states at the Fermi level: 0.5004 states/eV per atom

9.
! K2TeIr meta-GGA SCAN PBEsol geometry; values from VASP
&SYSTEM
  ibrav = 0, nat = 4, ntyp = 3
/
ATOMIC_SPECIES
Ir 192.22 Ir.upf
K 39.10 K.upf
Te 127.60 Te.upf
CELL_PARAMETERS angstrom
5.104 0.000 0.000
2.552 4.420 0.000
2.552 1.473 4.167
ATOMIC_POSITIONS crystal
Ir 0.500 0.500 0.500
K 0.000 0.000 0.000
K 0.750 0.750 0.750
Te 0.250 0.250 0.250
! - Space-group type: No. 216
! - Formation energy from raw total energies: 0.347 eV/atom
! - Density of states at the Fermi level: 1.0785 states/eV per atom

10.
! KTe2Ir meta-GGA SCAN PBEsol geometry; values from VASP
&SYSTEM
  ibrav = 0, nat = 4, ntyp = 3
/
ATOMIC_SPECIES
Ir 192.22 Ir.upf
K 39.10 K.upf
Te 127.60 Te.upf
CELL_PARAMETERS angstrom
-0.953 -3.807 -3.264
1.810 -4.680 0.939
-3.196 -3.755 1.322
ATOMIC_POSITIONS crystal
Ir 0.500 0.500 0.500
K 0.250 0.250 0.250
Te 0.000 0.000 0.000
Te 0.750 0.750 0.750
! - Space-group type: No. 216
! - Formation energy from raw total energies: 0.740 eV/atom
! - Density of states at the Fermi level: 0.3016 states/eV per atom

11.
! KTeIr meta-GGA SCAN PBEsol geometry; values from VASP
&SYSTEM
  ibrav = 0, nat = 3, ntyp = 3
/
ATOMIC_SPECIES
K 39.10 K.upf
Ir 192.22 Ir.upf
Te 127.60 Te.upf
CELL_PARAMETERS angstrom
-1.339 -1.650 2.913
0.823 -3.203 -1.435
5.650 2.646 1.864
ATOMIC_POSITIONS crystal
K 0.335 0.335 0.670
Ir 0.051 0.051 0.103
Te 0.614 0.614 0.228
! - Space-group type: No. 107
! - Formation energy from raw total energies: -0.098 eV/atom
! - Density of states at the Fermi level: 0.2137 states/eV per atom

12.
! K2TlIr meta-GGA SCAN PBEsol geometry; values from VASP
&SYSTEM
  ibrav = 0, nat = 4, ntyp = 3
/
ATOMIC_SPECIES
Ir 192.22 Ir.upf
K 39.10 K.upf
Tl 204.38 Tl.upf
CELL_PARAMETERS angstrom
3.225 0.000 0.000
0.000 4.357 -0.061
-1.612 -2.031 9.720
ATOMIC_POSITIONS crystal
Ir 0.500 0.000 0.000
K 0.855 0.856 0.709
K 0.145 0.144 0.291
Tl 0.000 0.500 0.000
! - Space-group type: No. 12
! - Energy above the lowest structure with this stoichiometry: 0.0000 eV per atom
! - DFT formation energy: 1.01 eV/f.u.
! - Density of states at the Fermi level: 0.4159 states/eV per atom